A relaxed structure of LaNd15Sc4. Source: Alexandria, functional GGA-PBE.

Structure (extended XYZ):
```
20
Lattice="5.087 0.000 0.000 0.000 5.087 0.000 0.000 0.000 25.460" Properties=species:S:1:pos:R:3 pbc="T T T"
La 0.000 0.000 0.000
Nd 2.544 2.544 0.000
Nd 2.544 2.544 5.222
Nd 2.544 2.544 10.219
Nd 2.544 2.544 15.241
Nd 2.544 2.544 20.237
Nd 2.544 0.000 2.689
Nd 2.544 0.000 7.709
Nd 2.544 0.000 12.730
Nd 2.544 0.000 17.751
Nd 2.544 0.000 22.770
Nd 0.000 2.544 2.689
Nd 0.000 2.544 7.709
Nd 0.000 2.544 12.730
Nd 0.000 2.544 17.751
Nd 0.000 2.544 22.770
Sc 0.000 0.000 5.193
Sc 0.000 0.000 10.218
Sc 0.000 0.000 15.242
Sc 0.000 0.000 20.267
```

Output
- E_form: 66 kJ/mol of formula units
- DFT total energy: -5.05 eV/atom

A relaxed structure of LaNd2Sc. Source: Alexandria, functional GGA-PBE.

Structure (extended XYZ):
```
4
Lattice="-3.278 1.539 0.289 -1.094 -1.769 -2.979 -3.074 -7.606 5.645" Properties=species:S:1:pos:R:3 pbc="T T T"
Sc -2.186 -0.115 -1.345
Nd -2.363 -5.848 4.340
Nd -0.711 -1.758 1.305
La -3.723 -3.918 1.478
```

Output
- E_form: 20 kJ/mol of formula units
- Relative energy among the computed polymorphs: 12 meV/atom
- DFT total energy: -5.15 eV/atom

A relaxed structure of La2Nd3Sc. Source: Alexandria, functional GGA-PBE.

Structure (extended XYZ):
```
12
Lattice="-4.506 0.461 5.120 -4.225 -2.176 -8.086 1.644 -6.467 2.030" Properties=species:S:1:pos:R:3 pbc="T T T"
La -3.871 -3.604 -2.489
La -2.464 -6.897 -2.139
La -4.623 -1.285 1.203
La -3.216 -4.578 1.553
Nd -2.004 -4.519 5.200
Nd -0.858 -1.487 1.950
Nd -5.123 -7.503 0.334
Nd -0.750 -3.952 -0.700
Nd -6.337 -4.230 -0.236
Nd -1.963 -0.679 -1.270
Sc -3.007 -1.267 4.391
Sc 0.145 -4.739 2.758
```

Output
- E_form: 70 kJ/mol of formula units
- Relative energy among the computed polymorphs: 26 meV/atom
- DFT total energy: -4.96 eV/atom

A relaxed structure of La3Nd5Sc2. Source: Alexandria, functional GGA-PBE.

Structure (extended XYZ):
```
20
Lattice="-3.818 -8.468 2.321 9.299 1.024 2.082 -4.683 6.577 5.062" Properties=species:S:1:pos:R:3 pbc="T T T"
La -0.402 -1.526 0.916
La 1.199 0.659 8.550
La 1.066 -2.083 4.222
La -0.268 1.215 5.244
La 5.408 0.228 2.703
La -4.610 -1.095 6.763
Nd -1.499 4.365 6.291
Nd 2.297 -5.233 3.175
Nd 4.078 3.450 3.770
Nd -2.439 -1.298 3.832
Nd -3.280 -4.317 5.696
Nd 3.236 0.431 5.634
Nd -1.016 -1.891 7.161
Nd 1.814 1.024 2.305
Nd -3.834 1.945 4.888
Nd 4.632 -2.812 4.578
Sc 2.532 -2.639 7.442
Sc -1.734 1.771 2.024
Sc 2.004 3.615 6.720
Sc -1.207 -4.483 2.746
```

Output
- E_form: 45 kJ/mol of formula units
- DFT total energy: -5.08 eV/atom

A relaxed structure of LaNdSc2. Source: Alexandria, functional GGA-PBE.

Structure (extended XYZ):
```
4
Lattice="-0.946 2.429 -2.340 -3.311 0.144 -1.134 -3.960 7.873 7.151" Properties=species:S:1:pos:R:3 pbc="T T T"
La -2.838 1.717 -2.315
Nd -4.106 5.217 1.830
Sc -3.329 6.131 5.087
Sc -2.052 2.606 0.912
```

Output
- E_form: 34 kJ/mol of formula units
- Relative energy among the computed polymorphs: 35 meV/atom
- DFT total energy: -5.50 eV/atom

A relaxed structure of La3NdSc2. Source: Alexandria, functional GGA-PBE.

Structure (extended XYZ):
```
12
Lattice="5.515 0.000 0.000 0.000 8.333 -3.075 0.000 -0.125 8.882" Properties=species:S:1:pos:R:3 pbc="T T T"
La 5.477 7.419 0.537
La 2.719 5.231 -1.011
La 5.477 2.977 6.817
La 2.719 0.789 5.269
La 2.719 7.334 5.188
La 5.477 0.874 0.618
Nd 5.477 6.004 4.247
Nd 2.719 2.204 1.559
Sc 2.719 5.686 2.176
Sc 5.477 4.262 1.170
Sc 2.719 3.945 4.637
Sc 5.477 2.522 3.630
```

Output
- E_form: 140 kJ/mol of formula units
- DFT total energy: -5.13 eV/atom

A relaxed structure of LaNd2Sc. Source: Alexandria, functional GGA-PBE.

Structure (extended XYZ):
```
8
Lattice="3.373 0.000 0.000 0.000 5.602 2.049 0.000 6.312 16.379" Properties=species:S:1:pos:R:3 pbc="T T T"
La 0.843 9.183 12.717
La 2.530 2.731 5.711
Nd 2.530 6.083 4.935
Nd 0.843 7.956 16.238
Nd 2.530 3.958 2.190
Nd 0.843 5.831 13.493
Sc 0.843 6.891 10.331
Sc 2.530 5.023 8.097
```

Output
- E_form: 99 kJ/mol of formula units
- Relative energy among the computed polymorphs: 218 meV/atom
- DFT total energy: -4.94 eV/atom

A relaxed structure of La4Nd3Sc2. Source: Alexandria, functional GGA-PBE.

Structure (extended XYZ):
```
9
Lattice="3.682 0.000 0.000 -1.841 6.307 1.442 0.000 3.736 14.120" Properties=species:S:1:pos:R:3 pbc="T T T"
La 1.841 2.406 2.244
La 0.000 3.691 9.036
La 1.841 6.352 6.526
La 0.000 7.637 13.317
Nd 0.000 7.061 9.757
Nd 0.000 0.000 0.000
Nd 1.841 2.982 5.805
Sc 0.000 5.042 3.890
Sc 1.841 5.001 11.672
```

Output
- E_form: 85 kJ/mol of formula units
- DFT total energy: -5.09 eV/atom

Question: The highest E_form belongs to which entry?
Answer: La3NdSc2

Question: What is the formula in the fourth record?
Answer: La3Nd5Sc2

Question: DFT total energy of number 5 (LaNdSc2)?
Answer: -5.50 eV/atom